KPu after structural relaxation, computed with PBE.

a = 8.4580 Å, b = 8.4580 Å, c = 8.4580 Å
α = 104.76°, β = 104.76°, γ = 104.76°
Atoms (fractional coordinates):
K 0.1536 0.4522 0.4339
K 0.4339 0.1536 0.4522
K 0.4522 0.4339 0.1536
K 0.5478 0.5661 0.8464
K 0.5661 0.8464 0.5478
K 0.8464 0.5478 0.5661
Pu 0.0294 0.1212 0.6957
Pu 0.1212 0.6957 0.0294
Pu 0.3043 0.9706 0.8788
Pu 0.6957 0.0294 0.1212
Pu 0.8788 0.3043 0.9706
Pu 0.9706 0.8788 0.3043

Summary:
uncorrected energy	-6.86	eV per atom
ΔH_f (0 K)	0.857	eV per atom
Fermi-level density of states	54.565	states/eV/cell
crystal system	trigonal

=====

KPuRh after structural relaxation, computed with PBE.

a = 3.3375 Å, b = 3.3375 Å, c = 13.8656 Å
α = 95.42°, β = 95.42°, γ = 79.66°
Atoms (fractional coordinates):
K 0.2417 0.2417 0.1546
K 0.7583 0.7583 0.8454
Pu 0.2932 0.2932 0.4528
Pu 0.7068 0.7068 0.5472
Rh 0.2170 0.2170 0.6661
Rh 0.7830 0.7830 0.3339

Summary:
uncorrected energy	-7.44	eV per atom
ΔH_f (0 K)	0.149	eV per atom
Fermi-level density of states	9.829	states/eV/cell
crystal system	monoclinic

=====

K3Pu2RhS6 after structural relaxation, computed with PBE.

a = 6.7744 Å, b = 6.7744 Å, c = 7.7128 Å
α = 98.46°, β = 98.46°, γ = 120.04°
Atoms (fractional coordinates):
K 0.0000 0.0000 0.0000
K 0.3308 0.6692 0.0000
K 0.6692 0.3308 0.0000
Pu 0.1664 0.8336 0.5000
Pu 0.8336 0.1664 0.5000
Rh 0.5000 0.5000 0.5000
S 0.1252 0.4354 0.3062
S 0.2552 0.2552 0.6945
S 0.4354 0.1252 0.3062
S 0.5646 0.8748 0.6938
S 0.7448 0.7448 0.3055
S 0.8748 0.5646 0.6938

Summary:
uncorrected energy	-6.58	eV per atom
Fermi-level density of states	14.547	states/eV/cell
crystal system	monoclinic
ΔE_f (raw)	-1241	meV per atom

=====

KPu2RhS4 after structural relaxation, computed with PBE.

a = 7.1115 Å, b = 7.1115 Å, c = 13.7845 Å
α = 90.00°, β = 90.00°, γ = 148.08°
Atoms (fractional coordinates):
K 0.1066 0.8934 0.7500
K 0.8934 0.1066 0.2500
Pu 0.3664 0.6336 0.5617
Pu 0.3664 0.6336 0.9383
Pu 0.6336 0.3664 0.0617
Pu 0.6336 0.3664 0.4383
Rh 0.1661 0.8339 0.2500
Rh 0.8339 0.1661 0.7500
S 0.0000 0.0000 0.0000
S 0.0000 0.0000 0.5000
S 0.2639 0.7361 0.1063
S 0.2639 0.7361 0.3937
S 0.4271 0.5729 0.7500
S 0.5729 0.4271 0.2500
S 0.7361 0.2639 0.6063
S 0.7361 0.2639 0.8937

Summary:
uncorrected energy	-8.07	eV per atom
Fermi-level density of states	34.050	states/eV/cell
crystal system	orthorhombic
ΔE_f (raw)	-1371	meV per atom